# 1
## AcErGaN3 (PBE-GGA)

Data for a relaxed AcErGaN3 crystal.

CIF file:
```
data_AcErGaN3
_space_group_name_H-M_alt 'P 1 21/m 1'
_space_group_IT_number 11
_space_group_name_Hall '-P 2yb'
_cell_length_a 7.5326
_cell_length_b 3.5212
_cell_length_c 7.7636
_cell_angle_alpha 90.00
_cell_angle_beta 100.94
_cell_angle_gamma 90.00
loop_
_atom_site_label
_atom_site_fract_x
_atom_site_fract_y
_atom_site_fract_z
Ac1 0.1903 0.2500 0.2001
Er1 0.3555 0.7500 0.8512
Ga1 0.1013 0.2500 0.6109
N1 0.1344 0.2500 0.8619
N2 0.1651 0.7500 0.5081
N3 0.4210 0.7500 0.1454
```

Output
E_form (uncorrected) = -968 meV per atom

---

# 2
## LiCa2NiH6 (PBE-GGA)

Data for a relaxed LiCa2NiH6 crystal.

CIF file:
```
data_LiCa2NiH6
_space_group_name_H-M_alt 'P -3 m 1'
_space_group_IT_number 164
_space_group_name_Hall '-P 3 2"'
_cell_length_a 4.9946
_cell_length_b 4.9946
_cell_length_c 4.5220
_cell_angle_alpha 90.00
_cell_angle_beta 90.00
_cell_angle_gamma 120.00
loop_
_atom_site_label
_atom_site_fract_x
_atom_site_fract_y
_atom_site_fract_z
Li1 0.0000 0.0000 0.0000
Ca1 0.3333 0.6667 0.7234
Ni1 0.0000 0.0000 0.5000
H1 0.1608 0.3216 0.2791
```

Output
Electronic total energy = -0.2639 Ry per atom

---

no.,calculated density (kg/m³)
1,8312
2,2581